A plane-wave DFT calculation with PBE was carried out for Pr2Sm4Tl after structural relaxation.

Output
Total magnetization   0.00 μB per atom
Polymorph energy (0 for the lowest one)   0 meV/atom
Formation energy from the elements   -24 meV/atom
Uncorrected energy   -4.424 eV/atom

The structure in POSCAR format:
```
Pr2Sm4Tl
1.0
-5.107 -1.230 2.609
2.125 -6.389 1.146
7.100 3.930 8.747
Pr Tl Sm
4 2 8
Direct
0.268 0.250 0.427 Pr
0.542 0.750 0.025 Pr
0.732 0.750 0.573 Pr
0.458 0.250 0.975 Pr
0.889 0.250 0.837 Tl
0.111 0.750 0.163 Tl
0.149 0.750 0.434 Sm
0.631 0.492 0.284 Sm
0.038 0.250 0.126 Sm
0.369 0.992 0.716 Sm
0.851 0.250 0.566 Sm
0.369 0.508 0.716 Sm
0.962 0.750 0.874 Sm
0.631 0.008 0.284 Sm
```